1.
Entry from Alexandria via LeMat-Bulk: Lu2IrO after structural relaxation (PBE).

Output
Space-group type = P4/mmm, No. 123
Formation energy without anion corrections = -1447 meV per atom
Crystal system = tetragonal

Cell lengths 3.079, 3.079, 6.863 Å; angles 90.00, 90.00, 90.00 degrees
Fractional positions:
Lu  0.000  0.000  0.232
Lu  0.000  0.000  0.768
Ir  0.500  0.500  0.500
O  0.500  0.500  0.000

***

2.
Entry from Alexandria via LeMat-Bulk: TbLuIrOs after structural relaxation (PBE).

Output
Space-group type = F-43m, No. 216
Crystal system = cubic

Cell lengths 4.788, 4.788, 4.788 Å; angles 60.00, 60.00, 60.00 degrees
Fractional positions:
Tb  0.000  0.000  0.000
Lu  0.500  0.500  0.500
Ir  0.750  0.750  0.750
Os  0.250  0.250  0.250

***

3.
Entry from Alexandria via LeMat-Bulk: LuTiIrOs after structural relaxation (PBE).

Output
Space-group type = F-43m, No. 216
Crystal system = cubic

Cell lengths 4.555, 4.555, 4.555 Å; angles 60.00, 60.00, 60.00 degrees
Fractional positions:
Lu  0.000  0.000  0.000
Ti  0.500  0.500  0.500
Ir  0.250  0.250  0.250
Os  0.750  0.750  0.750

***

4.
Entry from Alexandria via LeMat-Bulk: TmLuIrOs after structural relaxation (PBE).

Output
Space-group type = F-43m, No. 216
Crystal system = cubic

Cell lengths 4.744, 4.744, 4.744 Å; angles 60.00, 60.00, 60.00 degrees
Fractional positions:
Tm  0.000  0.000  0.000
Lu  0.500  0.500  0.500
Ir  0.250  0.250  0.250
Os  0.750  0.750  0.750

***

5.
Entry from Alexandria via LeMat-Bulk: YLuIrOs after structural relaxation (PBE).

Output
Space-group type = F-43m, No. 216
Crystal system = cubic

Cell lengths 4.783, 4.783, 4.783 Å; angles 60.00, 60.00, 60.00 degrees
Fractional positions:
Y  0.000  0.000  0.000
Lu  0.500  0.500  0.500
Ir  0.250  0.250  0.250
Os  0.750  0.750  0.750

***

6.
Entry from Alexandria via LeMat-Bulk: LuZrIrOs after structural relaxation (PBE).

Output
Space-group type = F-43m, No. 216
Crystal system = cubic

Cell lengths 4.692, 4.692, 4.692 Å; angles 60.00, 60.00, 60.00 degrees
Fractional positions:
Lu  0.000  0.000  0.000
Zr  0.500  0.500  0.500
Ir  0.750  0.750  0.750
Os  0.250  0.250  0.250

***

7.
Entry from Alexandria via LeMat-Bulk: LuP2Ir after structural relaxation (PBE).

Output
Space-group type = R-3m, No. 166
Crystal system = trigonal

Cell lengths 5.780, 5.780, 5.780 Å; angles 38.71, 38.71, 38.71 degrees
Fractional positions:
Lu  0.000  0.000  0.000
P  0.232  0.232  0.232
P  0.768  0.768  0.768
Ir  0.500  0.500  0.500

***

8.
Entry from Alexandria via LeMat-Bulk: LuPaIrPt after structural relaxation (PBE).

Output
Space-group type = F-43m, No. 216
Crystal system = cubic

Cell lengths 4.889, 4.889, 4.889 Å; angles 60.00, 60.00, 60.00 degrees
Fractional positions:
Lu  0.000  0.000  0.000
Pa  0.500  0.500  0.500
Ir  0.250  0.250  0.250
Pt  0.750  0.750  0.750

***

9.
Entry from Alexandria via LeMat-Bulk: LuPaZnIr after structural relaxation (PBE).

Output
Space-group type = F-43m, No. 216
Crystal system = cubic

Cell lengths 4.904, 4.904, 4.904 Å; angles 60.00, 60.00, 60.00 degrees
Fractional positions:
Lu  0.000  0.000  0.000
Pa  0.500  0.500  0.500
Zn  0.250  0.250  0.250
Ir  0.750  0.750  0.750

***

10.
Entry from Alexandria via LeMat-Bulk: Lu2IrPb after structural relaxation (PBE).

Output
Space-group type = Fm-3m, No. 225
ΔE to the lowest computed polymorph = 0.209 eV per atom
Crystal system = cubic

Cell lengths 5.041, 5.041, 5.041 Å; angles 60.00, 60.00, 60.00 degrees
Fractional positions:
Lu  0.250  0.250  0.250
Lu  0.750  0.750  0.750
Ir  0.000  0.000  0.000
Pb  0.500  0.500  0.500

***

11.
Entry from Alexandria via LeMat-Bulk: Lu2IrPb after structural relaxation (PBE).

Output
Space-group type = R-3m, No. 166
ΔE to the lowest computed polymorph = 0.145 eV per atom
Crystal system = trigonal

Cell lengths 8.651, 8.651, 8.651 Å; angles 25.49, 25.49, 25.49 degrees
Fractional positions:
Lu  0.229  0.229  0.229
Lu  0.771  0.771  0.771
Ir  0.500  0.500  0.500
Pb  0.000  0.000  0.000

***

12.
Entry from Alexandria via LeMat-Bulk: Lu2IrPb after structural relaxation (PBE).

Output
Space-group type = P4/mmm, No. 123
ΔE to the lowest computed polymorph = 0.000 eV per atom
Crystal system = tetragonal

Cell lengths 3.437, 3.437, 7.886 Å; angles 90.00, 90.00, 90.00 degrees
Fractional positions:
Lu  0.000  0.000  0.203
Lu  0.000  0.000  0.797
Ir  0.500  0.500  0.000
Pb  0.500  0.500  0.500

***

13.
Entry from Alexandria via LeMat-Bulk: Lu2IrPb after structural relaxation (PBE).

Output
Space-group type = P4/mmm, No. 123
ΔE to the lowest computed polymorph = 0.201 eV per atom
Crystal system = tetragonal

Cell lengths 4.827, 4.827, 3.845 Å; angles 90.00, 90.00, 90.00 degrees
Fractional positions:
Lu  0.000  0.500  0.000
Lu  0.500  0.000  0.000
Ir  0.000  0.000  0.500
Pb  0.500  0.500  0.500

***

14.
Entry from Alexandria via LeMat-Bulk: LuIr4Pb after structural relaxation (PBE).

Output
Space-group type = F-43m, No. 216
Crystal system = cubic

Cell lengths 5.354, 5.354, 5.354 Å; angles 60.00, 60.00, 60.00 degrees
Fractional positions:
Lu  0.000  0.000  0.000
Ir  0.125  0.625  0.625
Ir  0.625  0.125  0.625
Ir  0.625  0.625  0.125
Ir  0.625  0.625  0.625
Pb  0.250  0.250  0.250

***

15.
Entry from Alexandria via LeMat-Bulk: PmLuIrPb after structural relaxation (PBE).

Output
Space-group type = F-43m, No. 216
Crystal system = cubic

Cell lengths 5.155, 5.155, 5.155 Å; angles 60.00, 60.00, 60.00 degrees
Fractional positions:
Pm  0.000  0.000  0.000
Lu  0.500  0.500  0.500
Ir  0.750  0.750  0.750
Pb  0.250  0.250  0.250

***

16.
Entry from Alexandria via LeMat-Bulk: TmLuIrPb after structural relaxation (PBE).

Output
Space-group type = F-43m, No. 216
Crystal system = cubic

Cell lengths 5.057, 5.057, 5.057 Å; angles 60.00, 60.00, 60.00 degrees
Fractional positions:
Tm  0.000  0.000  0.000
Lu  0.500  0.500  0.500
Ir  0.750  0.750  0.750
Pb  0.250  0.250  0.250

***

17.
Entry from Alexandria via LeMat-Bulk: LuIr2Pd after structural relaxation (PBE).

Output
Space-group type = P4/mmm, No. 123
Crystal system = tetragonal

Cell lengths 4.003, 4.003, 4.087 Å; angles 90.00, 90.00, 90.00 degrees
Fractional positions:
Lu  0.000  0.000  0.000
Ir  0.000  0.500  0.500
Ir  0.500  0.000  0.500
Pd  0.500  0.500  0.000

***

18.
Entry from Alexandria via LeMat-Bulk: LuIrPd2 after structural relaxation (PBE).

Output
Space-group type = P4/mmm, No. 123
Crystal system = tetragonal

Cell lengths 4.072, 4.072, 4.021 Å; angles 90.00, 90.00, 90.00 degrees
Fractional positions:
Lu  0.000  0.000  0.000
Ir  0.500  0.500  0.000
Pd  0.000  0.500  0.500
Pd  0.500  0.000  0.500

***

19.
Entry from Alexandria via LeMat-Bulk: PmLuIrPd after structural relaxation (PBE).

Output
Space-group type = F-43m, No. 216
Crystal system = cubic

Cell lengths 4.917, 4.917, 4.917 Å; angles 60.00, 60.00, 60.00 degrees
Fractional positions:
Pm  0.000  0.000  0.000
Lu  0.500  0.500  0.500
Ir  0.250  0.250  0.250
Pd  0.750  0.750  0.750

***

20.
Entry from Alexandria via LeMat-Bulk: PrLuIrPd after structural relaxation (PBE).

Output
Space-group type = F-43m, No. 216
Crystal system = cubic

Cell lengths 4.958, 4.958, 4.958 Å; angles 60.00, 60.00, 60.00 degrees
Fractional positions:
Pr  0.000  0.000  0.000
Lu  0.500  0.500  0.500
Ir  0.750  0.750  0.750
Pd  0.250  0.250  0.250

***

21.
Entry from Alexandria via LeMat-Bulk: LuPuIrPd after structural relaxation (PBE).

Output
Space-group type = F-43m, No. 216
Crystal system = cubic

Cell lengths 4.858, 4.858, 4.858 Å; angles 60.00, 60.00, 60.00 degrees
Fractional positions:
Lu  0.000  0.000  0.000
Pu  0.500  0.500  0.500
Ir  0.750  0.750  0.750
Pd  0.250  0.250  0.250

***

22.
Entry from Alexandria via LeMat-Bulk: LuSbIrPd after structural relaxation (PBE).

Output
Space-group type = F-43m, No. 216
Formation energy without anion corrections = -658 meV per atom
Crystal system = cubic

Cell lengths 4.732, 4.732, 4.732 Å; angles 60.00, 60.00, 60.00 degrees
Fractional positions:
Lu  0.000  0.000  0.000
Sb  0.500  0.500  0.500
Ir  0.750  0.750  0.750
Pd  0.250  0.250  0.250

***

23.
Entry from Alexandria via LeMat-Bulk: LuScIrPd after structural relaxation (PBE).

Output
Space-group type = F-43m, No. 216
Crystal system = cubic

Cell lengths 4.709, 4.709, 4.709 Å; angles 60.00, 60.00, 60.00 degrees
Fractional positions:
Lu  0.000  0.000  0.000
Sc  0.500  0.500  0.500
Ir  0.750  0.750  0.750
Pd  0.250  0.250  0.250

***

24.
Entry from Alexandria via LeMat-Bulk: SmLuIrPd after structural relaxation (PBE).

Output
Space-group type = F-43m, No. 216
Crystal system = cubic

Cell lengths 4.904, 4.904, 4.904 Å; angles 60.00, 60.00, 60.00 degrees
Fractional positions:
Sm  0.000  0.000  0.000
Lu  0.500  0.500  0.500
Ir  0.250  0.250  0.250
Pd  0.750  0.750  0.750

***

25.
Entry from Alexandria via LeMat-Bulk: LuSnIrPd after structural relaxation (PBE).

Output
Space-group type = F-43m, No. 216
Crystal system = cubic

Cell lengths 4.704, 4.704, 4.704 Å; angles 60.00, 60.00, 60.00 degrees
Fractional positions:
Lu  0.000  0.000  0.000
Sn  0.500  0.500  0.500
Ir  0.250  0.250  0.250
Pd  0.750  0.750  0.750

***

26.
Entry from Alexandria via LeMat-Bulk: LuTaIrPd after structural relaxation (PBE).

Output
Space-group type = F-43m, No. 216
Crystal system = cubic

Cell lengths 4.663, 4.663, 4.663 Å; angles 60.00, 60.00, 60.00 degrees
Fractional positions:
Lu  0.000  0.000  0.000
Ta  0.500  0.500  0.500
Ir  0.750  0.750  0.750
Pd  0.250  0.250  0.250

***

27.
Entry from Alexandria via LeMat-Bulk: TbLuIrPd after structural relaxation (PBE).

Output
Space-group type = F-43m, No. 216
Crystal system = cubic

Cell lengths 4.859, 4.859, 4.859 Å; angles 60.00, 60.00, 60.00 degrees
Fractional positions:
Tb  0.000  0.000  0.000
Lu  0.500  0.500  0.500
Ir  0.250  0.250  0.250
Pd  0.750  0.750  0.750

***

28.
Entry from Alexandria via LeMat-Bulk: LuTlIrPd after structural relaxation (PBE).

Output
Space-group type = F-43m, No. 216
Crystal system = cubic

Cell lengths 4.746, 4.746, 4.746 Å; angles 60.00, 60.00, 60.00 degrees
Fractional positions:
Lu  0.000  0.000  0.000
Tl  0.500  0.500  0.500
Ir  0.250  0.250  0.250
Pd  0.750  0.750  0.750

***

29.
Entry from Alexandria via LeMat-Bulk: TmLuIrPd after structural relaxation (PBE).

Output
Space-group type = F-43m, No. 216
Crystal system = cubic

Cell lengths 4.811, 4.811, 4.811 Å; angles 60.00, 60.00, 60.00 degrees
Fractional positions:
Tm  0.000  0.000  0.000
Lu  0.500  0.500  0.500
Ir  0.750  0.750  0.750
Pd  0.250  0.250  0.250

***

30.
Entry from Alexandria via LeMat-Bulk: YLuIrPd after structural relaxation (PBE).

Output
Space-group type = F-43m, No. 216
Crystal system = cubic

Cell lengths 4.853, 4.853, 4.853 Å; angles 60.00, 60.00, 60.00 degrees
Fractional positions:
Y  0.000  0.000  0.000
Lu  0.500  0.500  0.500
Ir  0.250  0.250  0.250
Pd  0.750  0.750  0.750

***

31.
Entry from Alexandria via LeMat-Bulk: LuZnIrPd after structural relaxation (PBE).

Output
Space-group type = F-43m, No. 216
Crystal system = cubic

Cell lengths 4.564, 4.564, 4.564 Å; angles 60.00, 60.00, 60.00 degrees
Fractional positions:
Lu  0.000  0.000  0.000
Zn  0.500  0.500  0.500
Ir  0.250  0.250  0.250
Pd  0.750  0.750  0.750

***

Computed DFT total energy (eV/atom) in order:
-7.16, -7.81, -8.75, -7.85, -8.27, -8.96, -6.99, -8.11, -6.48, -5.91, -5.97, -6.12, -5.92, -7.53, -5.90, -5.89, -7.43, -6.62, -6.68, -6.62, -8.91, -6.33, -7.22, -6.69, -6.39, -8.14, -6.74, -5.72, -6.76, -7.20, -5.65
Computed Fermi-level density of states (states/eV per atom) in order:
0.39, 0.37, 0.30, 0.29, 0.31, 0.33, 0.13, 1.32, 1.47, 0.94, 0.66, 0.28, 0.40, 1.44, 0.96, 0.94, 0.90, 0.83, 0.40, 0.50, 2.62, 0.74, 0.28, 0.35, 0.51, 0.92, 0.29, 0.70, 0.33, 0.31, 0.21